An optimized crystal structure of CoGeCl2. Source: the Alexandria database, functional PBE.

CIF file:
```
data_CoGeCl2
_chemical_formula_sum 'Co4 Ge4 Cl8'
_cell_length_a 8.7631
_cell_length_b 8.7631
_cell_length_c 4.5907
_cell_angle_alpha 90.00
_cell_angle_beta 90.00
_cell_angle_gamma 90.00
_symmetry_space_group_name_H-M 'I -4 2 d'
_symmetry_Int_Tables_number 122
_symmetry_space_group_name_Hall 'I -4 2bw'
loop_
_atom_site_label
_atom_site_fract_x
_atom_site_fract_y
_atom_site_fract_z
Co1 0.0000 0.0000 0.0000
Ge1 0.0000 0.0000 0.5000
Cl1 0.0930 0.7500 0.1250
```

Total magnetization   0.250 μB/atom
Uncorrected formation energy   -147.6 meV per atom
DOS(E_F)   0.0 states/eV/f.u.
Excess energy over the best structure of this formula in the dataset   0.000 eV/atom
Total DFT energy (no corrections)   -4.002 eV/atom
Density   3.8 g/cm3

---

An optimized crystal structure of CoGe3Cl. Source: the Alexandria database, functional PBE.

CIF file:
```
data_CoGe3Cl
_chemical_formula_sum 'Co1 Ge3 Cl1'
_cell_length_a 4.5955
_cell_length_b 4.5955
_cell_length_c 4.5955
_cell_angle_alpha 90.00
_cell_angle_beta 90.00
_cell_angle_gamma 90.00
_symmetry_space_group_name_H-M 'P m -3 m'
_symmetry_Int_Tables_number 221
_symmetry_space_group_name_Hall '-P 4 2 3'
loop_
_atom_site_label
_atom_site_fract_x
_atom_site_fract_y
_atom_site_fract_z
Co1 0.0000 0.0000 0.0000
Ge1 0.0000 0.0000 0.5000
Cl1 0.5000 0.5000 0.5000
```

Total magnetization   0.000 μB/atom
Uncorrected formation energy   -1.0 meV per atom
DOS(E_F)   4.0 states/eV/f.u.
Excess energy over the best structure of this formula in the dataset   0.000 eV/atom
Total DFT energy (no corrections)   -4.562 eV/atom
Density   5.3 g/cm3

---

An optimized crystal structure of Co3GeCl. Source: the Alexandria database, functional PBE.

CIF file:
```
data_Co3GeCl
_chemical_formula_sum 'Co3 Ge1 Cl1'
_cell_length_a 4.4629
_cell_length_b 4.4629
_cell_length_c 4.4629
_cell_angle_alpha 90.00
_cell_angle_beta 90.00
_cell_angle_gamma 90.00
_symmetry_space_group_name_H-M 'P m -3 m'
_symmetry_Int_Tables_number 221
_symmetry_space_group_name_Hall '-P 4 2 3'
loop_
_atom_site_label
_atom_site_fract_x
_atom_site_fract_y
_atom_site_fract_z
Co1 0.0000 0.0000 0.5000
Ge1 0.0000 0.0000 0.0000
Cl1 0.5000 0.5000 0.5000
```

Total magnetization   0.721 μB/atom
Uncorrected formation energy   981.8 meV per atom
DOS(E_F)   9.7 states/eV/f.u.
Excess energy over the best structure of this formula in the dataset   0.179 eV/atom
Total DFT energy (no corrections)   -4.575 eV/atom
Density   5.3 g/cm3